# 1
The following is a PBE calculation of SrMnRe2 after structural relaxation, from Alexandria.

Cell: 4.5224 4.5224 4.5224 Å, 60.00 60.00 60.00°
With the nearest neighbours (Å) after each atom.
Element x y z (fractional)
Mn (0.0000, 0.0000, 0.0000)  8 Re 2.77
Re (0.7500, 0.7500, 0.7500)  4 Sr 2.77, 4 Mn 2.77
Re (0.2500, 0.2500, 0.2500)  4 Sr 2.77, 4 Mn 2.77
Sr (0.5000, 0.5000, 0.5000)  8 Re 2.77

Summary:
* space group: Fm-3m (225)
* energy: -7.5879 eV per atom
* Fermi-level density of states: 2.4 states/eV/f.u.
* polymorph energy (0 for the lowest one): 0.868 eV per atom


# 2
The following is a PBE calculation of SrMnRe2 after structural relaxation, from Alexandria.

Cell: 5.6437 5.6437 5.6437 Å, 139.79 139.79 58.17°
With the nearest neighbours (Å) after each atom.
Element x y z (fractional)
Mn (0.7500, 0.2500, 0.5000)  4 Sr 2.74
Re (0.5000, 0.5000, 0.0000)  4 Re 2.74
Re (0.0000, 0.0000, 0.0000)  4 Re 2.74
Sr (0.2500, 0.7500, 0.5000)  4 Mn 2.74

Summary:
* space group: I4/mmm (139)
* energy: -7.7305 eV per atom
* Fermi-level density of states: 5.2 states/eV/f.u.
* polymorph energy (0 for the lowest one): 0.725 eV per atom


# 3
The following is a PBE calculation of SrMnRe2 after structural relaxation, from Alexandria.

Cell: 3.1445 3.1445 7.9987 Å, 90.00 90.00 90.00°
With the nearest neighbours (Å) after each atom.
Element x y z (fractional)
Re (0.0000, 0.0000, 0.0140)  4 Re 2.61, 4 Mn 2.73
Re (0.5000, 0.5000, 0.1839)  4 Re 2.61
Mn (0.5000, 0.5000, 0.8167)  5 Re 2.73-2.94
Sr (0.0000, 0.0000, 0.4854)  4 Sr 3.14, 4 Re 3.28, 4 Mn 3.46

Summary:
* space group: P4mm (99)
* energy: -8.3998 eV per atom
* Fermi-level density of states: 3.2 states/eV/f.u.
* polymorph energy (0 for the lowest one): 0.056 eV per atom


# 4
The following is a PBE calculation of SrMnRe after structural relaxation, from Alexandria.

Cell: 4.9090 4.9090 4.9090 Å, 60.00 60.00 60.00°
With the nearest neighbours (Å) after each atom.
Element x y z (fractional)
Mn (0.0000, 0.0000, 0.0000)  4 Sr 3.01
Re (0.5000, 0.5000, 0.5000)  4 Sr 3.01
Sr (0.2500, 0.2500, 0.2500)  4 Mn 3.01, 4 Re 3.01

Summary:
* space group: F-43m (216)
* energy: -5.4703 eV per atom
* Fermi-level density of states: 4.0 states/eV/f.u.
* polymorph energy (0 for the lowest one): 1.664 eV per atom


# 5
The following is a PBE calculation of SrMnRe after structural relaxation, from Alexandria.

Cell: 3.9401 3.9401 5.1457 Å, 90.00 90.00 120.00°
With the nearest neighbours (Å) after each atom.
Element x y z (fractional)
Mn (0.0000, 0.0000, 0.1475)  3 Re 2.28
Re (0.6667, 0.3333, 0.1834)  3 Mn 2.28
Sr (0.3333, 0.6667, 0.6691)  6 Mn 3.35-3.52, 6 Re 3.38-3.49

Summary:
* space group: P3m1 (156)
* energy: -7.0989 eV per atom
* Fermi-level density of states: 3.4 states/eV/f.u.
* polymorph energy (0 for the lowest one): 0.035 eV per atom


# 6
The following is a PBE calculation of SrMn4Re after structural relaxation, from Alexandria.

Cell: 4.9798 4.9798 4.9798 Å, 60.00 60.00 60.00°
With the nearest neighbours (Å) after each atom.
Element x y z (fractional)
Sr (0.0000, 0.0000, 0.0000)  12 Mn 2.92, 4 Re 3.05
Mn (0.8731, 0.3756, 0.3756)  6 Mn 2.48-2.50
Mn (0.3756, 0.8731, 0.3756)  6 Mn 2.48-2.50
Mn (0.3756, 0.3756, 0.3756)  6 Mn 2.48-2.50
Mn (0.3756, 0.3756, 0.8731)  6 Mn 2.48-2.50
Re (0.7500, 0.7500, 0.7500)  12 Mn 2.92, 4 Sr 3.05

Summary:
* space group: F-43m (216)
* energy: -7.7567 eV per atom
* Fermi-level density of states: 7.3 states/eV/f.u.


# 7
The following is a PBE calculation of SrMn3Re after structural relaxation, from Alexandria.

Cell: 4.8226 4.8226 4.8226 Å, 90.00 90.00 90.00°
With the nearest neighbours (Å) after each atom.
Element x y z (fractional)
Sr (0.5000, 0.5000, 0.5000)  12 Mn 3.41
Mn (0.0000, 0.0000, 0.5000)  2 Re 2.41
Mn (0.0000, 0.5000, 0.0000)  2 Re 2.41
Mn (0.5000, 0.0000, 0.0000)  2 Re 2.41
Re (0.0000, 0.0000, 0.0000)  6 Mn 2.41

Summary:
* space group: Pm-3m (221)
* energy: -7.5284 eV per atom
* Fermi-level density of states: 7.4 states/eV/f.u.


# 8
The following is a PBE calculation of SrMnRe after structural relaxation, from Alexandria.

Cell: 4.9328 4.9328 2.8514 Å, 90.00 90.00 120.00°
With the nearest neighbours (Å) after each atom.
Element x y z (fractional)
Mn (0.0000, 0.0000, 0.1673)  3 Re 2.85, 2 Mn 2.85, 6 Sr 3.18-3.19
Re (0.6667, 0.3333, 0.1661)  3 Mn 2.85, 2 Re 2.85, 6 Sr 3.18-3.19
Sr (0.3333, 0.6667, 0.6666)  2 Sr 2.85, 6 Mn 3.18-3.19, 6 Re 3.18-3.19

Summary:
* space group: P-6m2 (187)
* energy: -6.6800 eV per atom
* Fermi-level density of states: 2.5 states/eV/f.u.
* polymorph energy (0 for the lowest one): 0.454 eV per atom


# 9
The following is a PBE calculation of SrMnRe2 after structural relaxation, from Alexandria.

Cell: 5.8936 5.8936 4.8772 Å, 65.59 65.59 27.24°
With the nearest neighbours (Å) after each atom.
Element x y z (fractional)
Re (0.5385, 0.5385, 0.4614)  2 Mn 2.59, 2 Re 2.78
Re (0.9615, 0.9615, 0.0386)  2 Mn 2.59, 2 Re 2.78
Mn (0.2500, 0.2500, 0.2500)  4 Re 2.59, 2 Mn 2.78, 4 Sr 2.81
Sr (0.7500, 0.7500, 0.7500)  2 Sr 2.78, 4 Mn 2.81

Summary:
* space group: Immm (71)
* energy: -8.1269 eV per atom
* Fermi-level density of states: 4.9 states/eV/f.u.
* polymorph energy (0 for the lowest one): 0.329 eV per atom


# 10
The following is a PBE calculation of SrMnRe3 after structural relaxation, from Alexandria.

Cell: 4.6919 4.6919 4.6919 Å, 90.00 90.00 90.00°
With the nearest neighbours (Å) after each atom.
Element x y z (fractional)
Sr (0.0000, 0.0000, 0.0000)  6 Re 2.35
Re (0.5000, 0.0000, 0.0000)  2 Sr 2.35
Re (0.0000, 0.5000, 0.0000)  2 Sr 2.35
Re (0.0000, 0.0000, 0.5000)  2 Sr 2.35
Mn (0.5000, 0.5000, 0.5000)  12 Re 3.32

Summary:
* space group: Pm-3m (221)
* energy: -5.5400 eV per atom
* Fermi-level density of states: 9.4 states/eV/f.u.
* polymorph energy (0 for the lowest one): 2.782 eV per atom


# 11
The following is a PBE calculation of SrMnRe3 after structural relaxation, from Alexandria.

Cell: 4.5945 4.5945 4.5945 Å, 90.00 90.00 90.00°
With the nearest neighbours (Å) after each atom.
Element x y z (fractional)
Mn (0.0000, 0.0000, 0.0000)  6 Re 2.30
Re (0.5000, 0.0000, 0.0000)  2 Mn 2.30
Re (0.0000, 0.0000, 0.5000)  2 Mn 2.30
Re (0.0000, 0.5000, 0.0000)  2 Mn 2.30
Sr (0.5000, 0.5000, 0.5000)  12 Re 3.25

Summary:
* space group: Pm-3m (221)
* energy: -8.3221 eV per atom
* Fermi-level density of states: 6.0 states/eV/f.u.
* polymorph energy (0 for the lowest one): 0.000 eV per atom


# 12
The following is a PBE calculation of SrMnRe4 after structural relaxation, from Alexandria.

Cell: 5.3666 5.3666 5.3666 Å, 60.00 60.00 60.00°
With the nearest neighbours (Å) after each atom.
Element x y z (fractional)
Re (0.3741, 0.3741, 0.8778)  6 Re 2.66-2.70
Re (0.3741, 0.3741, 0.3741)  6 Re 2.66-2.70
Re (0.3741, 0.8778, 0.3741)  6 Re 2.66-2.70
Re (0.8778, 0.3741, 0.3741)  6 Re 2.66-2.70
Sr (0.7500, 0.7500, 0.7500)  12 Re 3.15, 4 Mn 3.29
Mn (0.0000, 0.0000, 0.0000)  12 Re 3.14, 4 Sr 3.29

Summary:
* space group: F-43m (216)
* energy: -9.5060 eV per atom
* Fermi-level density of states: 3.8 states/eV/f.u.